(1)
YAg2Pd | PBE | relaxed

Structure (CIF):
```
data_YAg2Pd
_chemical_formula_sum 'Y2 Ag4 Pd2'
_cell_length_a 4.2272
_cell_length_b 7.9799
_cell_length_c 5.3283
_cell_angle_alpha 90.00
_cell_angle_beta 113.33
_cell_angle_gamma 90.00
_symmetry_space_group_name_H-M 'P 1 21/m 1'
_symmetry_Int_Tables_number 11
loop_
_symmetry_equiv_pos_as_xyz
'x,y,z'
'-x,-y,-z'
'-x,y+1/2,-z'
'x,-y+1/2,z'
loop_
_atom_site_label
_atom_site_fract_x
_atom_site_fract_y
_atom_site_fract_z
_atom_site_occupancy
Y1 0.0643 0.2500 0.1296 1
Ag1 0.3640 0.0551 0.7275 1
Pd1 0.2297 0.7500 0.4598 1
```

Calculated values
- N(E_F): 0.485 states/eV per atom
- DFT formation energy: -0.414 eV/atom
- Offset from the most stable computed form: 54 meV/atom

(2)
YAg2Pd4 | PBE | relaxed

Structure (CIF):
```
data_YAg2Pd4
_chemical_formula_sum 'Y2 Ag4 Pd8'
_cell_length_a 6.7495
_cell_length_b 6.7495
_cell_length_c 5.8953
_cell_angle_alpha 90.00
_cell_angle_beta 90.00
_cell_angle_gamma 90.00
_symmetry_space_group_name_H-M 'I 4/m m m'
_symmetry_Int_Tables_number 139
_symmetry_space_group_name_Hall '-I 4 2'
loop_
_atom_site_label
_atom_site_fract_x
_atom_site_fract_y
_atom_site_fract_z
_atom_site_occupancy
Y1 0.0000 0.0000 0.0000 1
Ag1 0.0000 0.5000 0.0000 1
Pd1 0.2500 0.2500 0.2500 1
```

Calculated values
- N(E_F): 0.323 states/eV per atom
- DFT formation energy: -0.216 eV/atom